(1)
HoB4C2: optimized geometry, PBE.

Cell lengths 6.093, 6.093, 4.200 Å; angles 90.00, 90.00, 90.00 degrees
Space group P4_2/mnm (No. 136)
Unique sites:
Ho: 0.000 0.000 0.000 (multiplicity 2)
B: 0.059 0.385 0.500 (multiplicity 8)
C: 0.190 0.190 0.500 (multiplicity 4)

Computed properties:
E_tot, eV/atom: -6.906
DFT formation energy, meV/atom: 199
Calculated density, Mg/m³: 4.94
Size of the total moment, μB per formula unit: 0.0
V, Å³/atom: 11.14


(2)
HoB12C3: optimized geometry, PBE.

Cell lengths 11.0476, 11.0476, 8.7886 Å; angles 90.00, 90.00, 120.00 degrees
Space group R3c (No. 161, hexagonal axes)
Unique sites:
Ho: 0.0000 0.0000 0.0000 (multiplicity 6)
B: 0.0468 0.4958 0.0236 (multiplicity 18)
B: 0.0576 0.2300 0.6948 (multiplicity 18)
B: 0.0740 0.5006 0.7007 (multiplicity 18)
B: 0.1433 0.3988 0.7308 (multiplicity 18)
C: 0.0144 0.3455 0.0289 (multiplicity 18)

Computed properties:
E_tot, eV/atom: -6.493
DFT formation energy, meV/atom: 531
Calculated density, Mg/m³: 3.55
Size of the total moment, μB per formula unit: 0.0
V, Å³/atom: 9.68


(3)
HoB3C: optimized geometry, PBE.

Cell lengths 4.241, 4.217, 5.476 Å; angles 90.00, 110.05, 90.00 degrees
Space group Cm (No. 8)
Unique sites:
Ho: 0.000 0.000 0.000 (multiplicity 2)
B: 0.026 0.229 0.505 (multiplicity 4)
B: 0.373 0.000 0.692 (multiplicity 2)
C: 0.152 0.500 0.327 (multiplicity 2)

Computed properties:
E_tot, eV/atom: -6.643
DFT formation energy, meV/atom: 123
Calculated density, Mg/m³: 7.56
Size of the total moment, μB per formula unit: 0.0
V, Å³/atom: 9.20


(4)
HoB2C: optimized geometry, PBE.

Cell lengths 6.784, 6.784, 7.413 Å; angles 90.00, 90.00, 90.00 degrees
Space group P4_2/mbc (No. 135)
Unique sites:
Ho: 0.191 0.309 0.250 (multiplicity 8)
B: 0.034 0.848 0.000 (multiplicity 8)
B: 0.094 0.597 0.000 (multiplicity 8)
C: 0.040 0.822 0.500 (multiplicity 8)

Computed properties:
E_tot, eV/atom: -7.331
DFT formation energy, meV/atom: -542
Calculated density, Mg/m³: 7.73
Size of the total moment, μB per formula unit: 0.0
V, Å³/atom: 10.66